P:
A geometry-optimized YHoGe2 structure. Source: the Open Quantum Materials Database, functional PBE.

POSCAR file:
```
YHoGe2
1.0
-6.300 -1.553 7.744
3.231 -0.752 -9.543
2.217 -3.772 1.048
Ge Ho Y
4 2 2
Cartesian
2.351 -1.815 -6.681
3.532 -1.716 -8.822
-4.384 -4.360 8.070
-3.204 -4.261 5.929
-3.397 -2.298 3.745
2.544 -3.778 -4.496
-0.108 -2.022 -2.220
-0.745 -4.054 1.469
```

Values from the calculation:
The symmetry is Cmcm (63). The calculation puts the calculated volume at 188.4 Å³/cell. The size of the total moment is 0.000 μB/atom.


Q:
A geometry-optimized YHoGe2 structure. Source: the Open Quantum Materials Database, functional PBE.

POSCAR file:
```
YHoGe2
1.0
3.954 0.000 0.000
0.000 2.146 5.370
0.000 -2.146 5.370
Ge Ho Y
2 1 1
Cartesian
1.977 0.000 4.456
0.000 0.000 6.287
1.977 0.000 1.491
0.000 0.000 9.246
```

Values from the calculation:
The symmetry is Amm2 (38). The calculation puts the calculated volume at 91.1 Å³/cell. The size of the total moment is 0.001 μB/atom.


Of the structures shown above, P is the least stable.